# 1
Ga3PCl | PBE-GGA | optimized geometry

abc: 5.217 5.217 5.217
angles: 90.00 90.00 90.00
Positions (direct):
Ga1 0.500 0.000 0.000
P1 0.500 0.500 0.500
Ga2 0.000 0.000 0.500
Cl1 0.000 0.000 0.000
Ga3 0.000 0.500 0.000

Output
Space-group type   No. 221
E_tot   -2.697 eV per atom
E_form (uncorrected)   0.57 eV/atom
Excess energy over the best structure of this formula in the dataset   465.2 meV per atom



# 2
GaP3Cl | PBE-GGA | optimized geometry

abc: 4.756 4.756 4.756
angles: 90.00 90.00 90.00
Positions (direct):
P1 0.500 0.000 0.000
Cl1 0.500 0.500 0.500
P2 0.000 0.500 0.000
P3 0.000 0.000 0.500
Ga1 0.000 0.000 0.000

Output
Space-group type   No. 221
E_tot   -3.183 eV per atom
E_form (uncorrected)   1.04 eV/atom
Excess energy over the best structure of this formula in the dataset   0.0 meV per atom



# 3
Ga3PCl | PBE-GGA | optimized geometry

abc: 4.970 4.970 4.970
angles: 90.00 90.00 90.00
Positions (direct):
P1 0.000 0.000 0.000
Ga1 0.000 0.000 0.500
Ga2 0.500 0.000 0.000
Cl1 0.500 0.500 0.500
Ga3 0.000 0.500 0.000

Output
Space-group type   No. 221
E_tot   -3.162 eV per atom
E_form (uncorrected)   0.11 eV/atom
Excess energy over the best structure of this formula in the dataset   0.0 meV per atom



# 4
GaP2Cl | PBE-GGA | optimized geometry

abc: 3.758 3.758 11.913
angles: 80.93 80.93 90.00
Positions (direct):
P1 0.375 0.296 0.750
P2 0.046 0.625 0.250
Ga1 0.000 0.000 0.000
Cl1 0.250 0.750 0.500
P3 0.875 0.954 0.750
Ga2 0.750 0.250 0.500
P4 0.704 0.125 0.250
Cl2 0.500 0.500 0.000

Output
Space-group type   No. 122
E_tot   -3.847 eV per atom
E_form (uncorrected)   0.08 eV/atom
Excess energy over the best structure of this formula in the dataset   0.0 meV per atom



# 5
GaP2Cl | PBE-GGA | optimized geometry

abc: 4.582 4.582 4.582
angles: 60.00 60.00 60.00
Positions (direct):
Cl1 0.000 0.000 0.000
P1 0.250 0.250 0.250
P2 0.750 0.750 0.750
Ga1 0.500 0.500 0.500

Output
Space-group type   No. 225
E_tot   -3.296 eV per atom
E_form (uncorrected)   0.63 eV/atom
Excess energy over the best structure of this formula in the dataset   551.1 meV per atom



# 6
GaP3Cl | PBE-GGA | optimized geometry

abc: 4.659 4.659 4.659
angles: 90.00 90.00 90.00
Positions (direct):
Ga1 0.500 0.500 0.500
P1 0.000 0.500 0.000
P2 0.500 0.000 0.000
Cl1 0.000 0.000 0.000
P3 0.000 0.000 0.500

Output
Space-group type   No. 221
E_tot   -2.929 eV per atom
E_form (uncorrected)   1.29 eV/atom
Excess energy over the best structure of this formula in the dataset   253.5 meV per atom



# 7
GaP2PbCl | PBE-GGA | optimized geometry

abc: 5.295 5.295 5.612
angles: 90.00 90.00 90.00
Last column: magnetic moment on the atom in μB.
Positions (direct):
Cl1 0.000 0.000 0.500  0.06
Ga1 0.500 0.500 0.500  0.01
Pb1 0.000 0.000 0.000  0.00
P1 0.500 0.000 0.000  0.39
P2 0.000 0.500 0.000  0.39

Output
Space-group type   No. 123
E_tot   -3.203 eV per atom
E_form (uncorrected)   0.68 eV/atom
Excess energy over the best structure of this formula in the dataset   15.2 meV per atom



# 8
GaP2PbCl | PBE-GGA | optimized geometry

abc: 4.647 4.647 10.658
angles: 90.00 90.00 90.00
Positions (direct):
Cl1 0.000 0.000 0.500
P1 0.000 0.500 0.000
Pb1 0.500 0.500 0.500
Ga1 0.000 0.000 0.000
P2 0.500 0.000 0.000

Output
Space-group type   No. 123
E_tot   -3.219 eV per atom
E_form (uncorrected)   0.66 eV/atom
Excess energy over the best structure of this formula in the dataset   0.0 meV per atom



# 9
GaPPdCl2 | PBE-GGA | optimized geometry

abc: 4.733 4.733 4.964
angles: 90.00 90.00 90.00
Last column: magnetic moment on the atom in μB.
Positions (direct):
Cl1 0.500 0.000 0.000  0.07
Ga1 0.000 0.000 0.000  -0.01
Cl2 0.000 0.500 0.000  0.07
P1 0.000 0.000 0.500  0.41
Pd1 0.500 0.500 0.500  0.27

Output
Space-group type   No. 123
E_tot   -3.123 eV per atom
E_form (uncorrected)   0.34 eV/atom
Excess energy over the best structure of this formula in the dataset   320.6 meV per atom



# 10
GaPPdCl2 | PBE-GGA | optimized geometry

abc: 5.209 5.209 4.494
angles: 90.00 90.00 90.00
Positions (direct):
Ga1 0.500 0.500 0.500
Cl1 0.500 0.000 0.000
P1 0.000 0.000 0.500
Cl2 0.000 0.500 0.000
Pd1 0.000 0.000 0.000

Output
Space-group type   No. 123
E_tot   -3.444 eV per atom
E_form (uncorrected)   0.02 eV/atom
Excess energy over the best structure of this formula in the dataset   0.0 meV per atom



# 11
Pm4GaPCl2 | PBE-GGA | optimized geometry

abc: 4.181 7.272 7.234
angles: 70.36 90.00 90.00
Positions (direct):
Cl1 0.500 0.000 0.500
Cl2 0.000 0.000 0.000
Pm1 0.000 0.270 0.249
Ga1 0.500 0.500 0.000
P1 0.000 0.500 0.500
Pm2 0.500 0.722 0.264
Pm3 0.000 0.731 0.751
Pm4 0.500 0.278 0.736

Output
Space-group type   No. 10
E_tot   -5.193 eV per atom
E_form (uncorrected)   -1.30 eV/atom



# 12
Pm6GaP2Cl3 | PBE-GGA | optimized geometry

abc: 4.109 8.433 9.388
angles: 103.62 102.64 90.00
Positions (direct):
Pm1 0.338 0.894 0.676
Cl1 0.500 0.500 0.000
Pm2 0.662 0.106 0.324
Pm3 0.993 0.754 0.985
Pm4 0.325 0.434 0.650
P1 0.833 0.664 0.666
Pm5 0.675 0.566 0.350
P2 0.167 0.336 0.334
Ga1 0.500 0.000 0.000
Cl2 0.167 0.834 0.334
Cl3 0.833 0.166 0.666
Pm6 0.007 0.246 0.015

Output
Space-group type   No. 12
E_tot   -5.395 eV per atom
E_form (uncorrected)   -1.40 eV/atom